Below is a relaxed LaPm12Pr2 crystal, with properties calculated at the PBE level.

Unit cell a=6.581 b=6.581 c=25.673 alpha=90.00 beta=90.00 gamma=89.92
Atoms (fractional coordinates):
La (0.500, 0.000, 0.000)
La (0.000, 0.500, 0.000)
Pm (0.500, 0.500, 0.783)
Pm (0.000, 0.000, 0.783)
Pm (0.815, 0.685, 0.884)
Pm (0.315, 0.815, 0.884)
Pm (0.000, 0.000, 0.339)
Pm (0.185, 0.685, 0.116)
Pm (0.832, 0.332, 0.561)
Pm (0.500, 0.500, 0.339)
Pm (0.185, 0.315, 0.884)
Pm (0.685, 0.815, 0.116)
Pm (0.332, 0.168, 0.561)
Pm (0.668, 0.168, 0.439)
Pm (0.000, 0.000, 0.661)
Pm (0.168, 0.332, 0.439)
Pm (0.315, 0.185, 0.116)
Pm (0.832, 0.668, 0.439)
Pm (0.668, 0.832, 0.561)
Pm (0.000, 0.000, 0.217)
Pm (0.168, 0.668, 0.561)
Pm (0.500, 0.500, 0.661)
Pm (0.685, 0.185, 0.884)
Pm (0.500, 0.500, 0.217)
Pm (0.332, 0.832, 0.439)
Pm (0.815, 0.315, 0.116)
Pr (0.500, 0.000, 0.268)
Pr (0.000, 0.500, 0.268)
Pr (0.000, 0.500, 0.732)
Pr (0.500, 0.000, 0.732)

Output
calculated density: 6.5 g/cm3
M_tot: 0.0 μB per formula unit
ΔE_f: 284 meV/atom
DOS at the Fermi energy: 20.50 states/eV/f.u.

Below is a relaxed LaPm3Pr12 crystal, with properties calculated at the PBE level.

Unit cell a=5.243 b=5.243 c=20.932 alpha=90.00 beta=90.00 gamma=90.00
Atoms (fractional coordinates):
La (0.000, 0.000, 0.000)
Pm (0.000, 0.000, 0.251)
Pm (0.000, 0.000, 0.500)
Pm (0.000, 0.000, 0.749)
Pr (0.500, 0.500, 0.000)
Pr (0.500, 0.500, 0.251)
Pr (0.500, 0.500, 0.500)
Pr (0.500, 0.500, 0.749)
Pr (0.500, 0.000, 0.126)
Pr (0.500, 0.000, 0.375)
Pr (0.500, 0.000, 0.625)
Pr (0.500, 0.000, 0.874)
Pr (0.000, 0.500, 0.126)
Pr (0.000, 0.500, 0.375)
Pr (0.000, 0.500, 0.625)
Pr (0.000, 0.500, 0.874)

Output
calculated density: 6.5 g/cm3
M_tot: 0.0 μB per formula unit
ΔE_f: 10 meV/atom
DOS at the Fermi energy: 25.90 states/eV/f.u.

Below is a relaxed LaPm2Pr7 crystal, with properties calculated at the PBE level.

Unit cell a=5.724 b=9.432 c=9.432 alpha=122.90 beta=90.00 gamma=90.00
Atoms (fractional coordinates):
La (0.000, 0.000, 0.000)
Pm (0.500, 0.702, 0.298)
Pm (0.500, 0.298, 0.702)
Pr (0.000, 0.770, 0.230)
Pr (0.000, 0.230, 0.770)
Pr (0.500, 0.065, 0.297)
Pr (0.500, 0.935, 0.703)
Pr (0.500, 0.297, 0.065)
Pr (0.500, 0.703, 0.935)
Pr (0.500, 0.500, 0.500)

Output
calculated density: 5.5 g/cm3
M_tot: 0.0 μB per formula unit
ΔE_f: 598 meV/atom
DOS at the Fermi energy: 15.50 states/eV/f.u.
energy above the most stable polymorph in this dataset: 411 meV/atom

Below is a relaxed LaPm3Pr3 crystal, with properties calculated at the PBE level.

Unit cell a=3.779 b=12.865 c=12.865 alpha=120.00 beta=90.00 gamma=90.00
Atoms (fractional coordinates):
La (0.250, 0.667, 0.333)
La (0.750, 0.333, 0.667)
Pm (0.750, 0.913, 0.689)
Pm (0.750, 0.776, 0.087)
Pm (0.250, 0.689, 0.776)
Pm (0.750, 0.311, 0.224)
Pm (0.250, 0.224, 0.913)
Pm (0.250, 0.087, 0.311)
Pr (0.750, 0.613, 0.512)
Pr (0.750, 0.900, 0.387)
Pr (0.250, 0.512, 0.900)
Pr (0.750, 0.488, 0.100)
Pr (0.250, 0.100, 0.613)
Pr (0.250, 0.387, 0.488)

Output
calculated density: 6.1 g/cm3
M_tot: 0.0 μB per formula unit
ΔE_f: 294 meV/atom
DOS at the Fermi energy: 9.99 states/eV/f.u.
energy above the most stable polymorph in this dataset: 261 meV/atom

Below is a relaxed La2Pm4Pr crystal, with properties calculated at the PBE level.

Unit cell a=4.685 b=4.685 c=12.077 alpha=101.18 beta=101.18 gamma=90.00
Atoms (fractional coordinates):
La (0.598, 0.598, 0.196)
La (0.402, 0.402, 0.804)
Pm (0.139, 0.139, 0.278)
Pm (0.861, 0.861, 0.722)
Pm (0.750, 0.250, 0.500)
Pm (0.250, 0.750, 0.500)
Pr (0.000, 0.000, 0.000)

Output
calculated density: 6.5 g/cm3
M_tot: 0.0 μB per formula unit
ΔE_f: 208 meV/atom
DOS at the Fermi energy: 10.02 states/eV/f.u.
energy above the most stable polymorph in this dataset: 20 meV/atom

Below is a relaxed La12Pm5Pr crystal, with properties calculated at the PBE level.

Unit cell a=11.093 b=11.135 c=6.433 alpha=73.04 beta=89.99 gamma=60.13
Atoms (fractional coordinates):
La (0.831, 0.000, 0.500)
La (0.169, 0.000, 0.500)
La (0.668, 0.000, 0.000)
La (0.332, 0.000, 0.000)
La (0.336, 0.666, 0.000)
La (0.998, 0.666, 0.000)
La (0.002, 0.334, 0.000)
La (0.664, 0.334, 0.000)
La (0.502, 0.333, 0.500)
La (0.835, 0.667, 0.500)
La (0.165, 0.333, 0.500)
La (0.498, 0.667, 0.500)
Pm (0.500, 0.000, 0.500)
Pm (0.167, 0.666, 0.501)
Pm (0.833, 0.334, 0.499)
Pm (0.667, 0.667, 0.999)
Pm (0.333, 0.333, 0.001)
Pr (0.000, 0.000, 0.000)

Output
calculated density: 6.5 g/cm3
M_tot: 0.0 μB per formula unit
ΔE_f: 17 meV/atom
DOS at the Fermi energy: 34.91 states/eV/f.u.

Below is a relaxed La2PmPr crystal, with properties calculated at the PBE level.

Unit cell a=5.215 b=5.247 c=5.247 alpha=90.00 beta=90.00 gamma=90.00
Atoms (fractional coordinates):
Pr (0.500, 0.000, 0.000)
La (0.000, 0.000, 0.500)
La (0.000, 0.500, 0.000)
Pm (0.500, 0.500, 0.500)

Output
calculated density: 6.5 g/cm3
M_tot: 0.0 μB per formula unit
ΔE_f: 9 meV/atom
DOS at the Fermi energy: 6.73 states/eV/f.u.
energy above the most stable polymorph in this dataset: 0 meV/atom

Below is a relaxed La2PmPr3 crystal, with properties calculated at the PBE level.

Unit cell a=5.904 b=10.178 c=7.187 alpha=90.00 beta=90.00 gamma=90.00
Atoms (fractional coordinates):
La (0.500, 0.832, 0.250)
La (0.000, 0.332, 0.250)
La (0.000, 0.668, 0.750)
La (0.500, 0.168, 0.750)
Pm (0.000, 0.000, 0.500)
Pm (0.500, 0.500, 0.000)
Pr (0.000, 0.000, 0.000)
Pr (0.500, 0.500, 0.500)
Pr (0.500, 0.832, 0.750)
Pr (0.500, 0.168, 0.250)
Pr (0.000, 0.332, 0.750)
Pr (0.000, 0.668, 0.250)

Output
calculated density: 6.5 g/cm3
M_tot: 0.0 μB per formula unit
ΔE_f: 46 meV/atom
DOS at the Fermi energy: 8.56 states/eV/f.u.
energy above the most stable polymorph in this dataset: 36 meV/atom

Below is a relaxed La3PmPr4 crystal, with properties calculated at the PBE level.

Unit cell a=7.408 b=7.406 c=10.561 alpha=90.00 beta=90.00 gamma=90.00
Atoms (fractional coordinates):
Pr (0.000, 0.811, 0.000)
Pr (0.500, 0.310, 0.000)
Pr (0.749, 0.061, 0.750)
Pr (0.251, 0.561, 0.750)
Pr (0.500, 0.810, 0.500)
Pr (0.000, 0.311, 0.500)
Pr (0.251, 0.561, 0.250)
Pr (0.749, 0.061, 0.250)
Pm (0.500, 0.811, 0.000)
Pm (0.500, 0.311, 0.500)
La (0.000, 0.311, 0.000)
La (0.251, 0.061, 0.750)
La (0.749, 0.561, 0.750)
La (0.000, 0.811, 0.500)
La (0.749, 0.561, 0.250)
La (0.251, 0.061, 0.250)

Output
calculated density: 6.4 g/cm3
M_tot: 0.0 μB per formula unit
ΔE_f: 10 meV/atom
DOS at the Fermi energy: 13.86 states/eV/f.u.

Below is a relaxed La4Pm6Pr crystal, with properties calculated at the PBE level.

Unit cell a=3.669 b=11.172 c=11.172 alpha=120.00 beta=90.00 gamma=90.00
Atoms (fractional coordinates):
La (0.500, 0.842, 0.683)
La (0.500, 0.317, 0.158)
La (0.500, 0.842, 0.158)
La (0.000, 0.333, 0.667)
Pm (0.000, 0.531, 0.061)
Pm (0.500, 0.628, 0.814)
Pm (0.000, 0.531, 0.469)
Pm (0.000, 0.939, 0.469)
Pm (0.500, 0.186, 0.814)
Pm (0.500, 0.186, 0.372)
Pr (0.000, 0.000, 0.000)

Output
calculated density: 6.6 g/cm3
M_tot: 0.0 μB per formula unit
ΔE_f: 156 meV/atom
DOS at the Fermi energy: 16.51 states/eV/f.u.
energy above the most stable polymorph in this dataset: 0 meV/atom

Below is a relaxed La3Pm4Pr5 crystal, with properties calculated at the PBE level.

Unit cell a=7.387 b=11.720 c=13.365 alpha=151.30 beta=56.40 gamma=129.17
Atoms (fractional coordinates):
La (0.586, 0.168, 0.334)
La (0.000, 0.000, 0.500)
La (0.414, 0.832, 0.666)
Pm (0.917, 0.833, 0.668)
Pm (0.834, 0.667, 0.833)
Pm (0.166, 0.333, 0.167)
Pm (0.083, 0.167, 0.332)
Pr (0.334, 0.667, 0.833)
Pr (0.500, 0.000, 0.500)
Pr (0.749, 0.501, 0.001)
Pr (0.251, 0.499, 0.999)
Pr (0.666, 0.333, 0.167)

Output
calculated density: 6.6 g/cm3
M_tot: 0.0 μB per formula unit
ΔE_f: 14 meV/atom
DOS at the Fermi energy: 20.76 states/eV/f.u.
energy above the most stable polymorph in this dataset: 0 meV/atom

Below is a relaxed La2Pm5Pr crystal, with properties calculated at the PBE level.

Unit cell a=6.547 b=12.380 c=15.082 alpha=92.24 beta=77.47 gamma=74.67
Atoms (fractional coordinates):
La (0.293, 0.097, 0.731)
La (0.742, 0.117, 0.058)
La (0.917, 0.383, 0.442)
La (0.879, 0.597, 0.231)
La (0.121, 0.403, 0.769)
La (0.083, 0.617, 0.558)
La (0.258, 0.883, 0.942)
La (0.707, 0.903, 0.269)
Pm (0.202, 0.999, 0.166)
Pm (0.296, 0.087, 0.480)
Pm (0.797, 0.182, 0.637)
Pm (0.378, 0.201, 0.287)
Pm (0.865, 0.299, 0.213)
Pm (0.261, 0.165, 0.970)
Pm (0.395, 0.335, 0.530)
Pm (0.368, 0.501, 0.334)
Pm (0.137, 0.587, 0.980)
Pm (0.616, 0.318, 0.863)
Pm (0.384, 0.682, 0.137)
Pm (0.863, 0.413, 0.020)
Pm (0.632, 0.499, 0.666)
Pm (0.605, 0.665, 0.470)
Pm (0.739, 0.835, 0.030)
Pm (0.135, 0.701, 0.787)
Pm (0.622, 0.799, 0.713)
Pm (0.203, 0.818, 0.363)
Pm (0.704, 0.913, 0.520)
Pm (0.798, 0.001, 0.834)
Pr (0.849, 0.113, 0.387)
Pr (0.349, 0.387, 0.113)
Pr (0.651, 0.613, 0.887)
Pr (0.151, 0.887, 0.613)

Output
calculated density: 6.6 g/cm3
M_tot: 0.0 μB per formula unit
ΔE_f: 94 meV/atom
DOS at the Fermi energy: 12.50 states/eV/f.u.
energy above the most stable polymorph in this dataset: 0 meV/atom

Below is a relaxed La4Pm3Pr crystal, with properties calculated at the PBE level.

Unit cell a=3.495 b=9.143 c=9.143 alpha=98.06 beta=90.00 gamma=90.00
Atoms (fractional coordinates):
La (0.000, 0.749, 0.749)
La (0.500, 0.252, 0.748)
La (0.000, 0.251, 0.251)
La (0.500, 0.748, 0.252)
Pm (0.000, 0.000, 0.500)
Pm (0.500, 0.500, 0.500)
Pm (0.000, 0.500, 0.000)
Pr (0.500, 0.000, 0.000)

Output
calculated density: 6.5 g/cm3
M_tot: 0.0 μB per formula unit
ΔE_f: 330 meV/atom
DOS at the Fermi energy: 19.45 states/eV/f.u.
energy above the most stable polymorph in this dataset: 132 meV/atom

Below is a relaxed La2PmPr9 crystal, with properties calculated at the PBE level.

Unit cell a=5.250 b=5.250 c=15.761 alpha=90.00 beta=90.00 gamma=90.00
Atoms (fractional coordinates):
La (0.000, 0.000, 0.333)
La (0.000, 0.000, 0.667)
Pm (0.000, 0.000, 0.000)
Pr (0.500, 0.500, 0.000)
Pr (0.500, 0.500, 0.332)
Pr (0.500, 0.500, 0.668)
Pr (0.500, 0.000, 0.165)
Pr (0.500, 0.000, 0.500)
Pr (0.500, 0.000, 0.835)
Pr (0.000, 0.500, 0.165)
Pr (0.000, 0.500, 0.500)
Pr (0.000, 0.500, 0.835)

Output
calculated density: 6.5 g/cm3
M_tot: 0.0 μB per formula unit
ΔE_f: 11 meV/atom
DOS at the Fermi energy: 21.21 states/eV/f.u.

Below is a relaxed La4Pm4Pr5 crystal, with properties calculated at the PBE level.

Unit cell a=5.235 b=9.808 c=9.817 alpha=85.85 beta=74.54 gamma=74.52
Atoms (fractional coordinates):
La (0.923, 0.461, 0.693)
La (0.616, 0.307, 0.461)
La (0.077, 0.539, 0.307)
La (0.384, 0.693, 0.539)
Pm (0.769, 0.385, 0.077)
Pm (0.231, 0.615, 0.923)
Pm (0.846, 0.923, 0.385)
Pm (0.154, 0.077, 0.615)
Pr (0.691, 0.849, 0.768)
Pr (0.309, 0.151, 0.232)
Pr (0.000, 0.000, 0.000)
Pr (0.540, 0.768, 0.151)
Pr (0.460, 0.232, 0.849)

Output
calculated density: 6.5 g/cm3
M_tot: 0.0 μB per formula unit
ΔE_f: 16 meV/atom
DOS at the Fermi energy: 24.16 states/eV/f.u.

Below is a relaxed La2Pm3Pr5 crystal, with properties calculated at the PBE level.

Unit cell a=10.195 b=10.199 c=11.353 alpha=128.53 beta=128.52 gamma=67.23
Atoms (fractional coordinates):
La (0.782, 0.028, 0.752)
La (0.218, 0.972, 0.248)
La (0.470, 0.724, 0.752)
La (0.530, 0.276, 0.248)
Pm (0.233, 0.983, 0.966)
Pm (0.767, 0.017, 0.034)
Pm (0.727, 0.471, 0.250)
Pm (0.273, 0.529, 0.750)
Pm (0.023, 0.779, 0.250)
Pm (0.977, 0.221, 0.750)
Pr (0.276, 0.526, 0.051)
Pr (0.724, 0.474, 0.949)
Pr (0.024, 0.774, 0.547)
Pr (0.516, 0.266, 0.533)
Pr (0.976, 0.226, 0.453)
Pr (0.484, 0.734, 0.467)
Pr (0.876, 0.620, 0.753)
Pr (0.124, 0.380, 0.247)
Pr (0.377, 0.133, 0.753)
Pr (0.623, 0.867, 0.247)

Output
calculated density: 6.5 g/cm3
M_tot: 0.0 μB per formula unit
ΔE_f: 162 meV/atom
DOS at the Fermi energy: 18.01 states/eV/f.u.
energy above the most stable polymorph in this dataset: 0 meV/atom

Below is a relaxed La2Pm2Pr crystal, with properties calculated at the PBE level.

Unit cell a=3.776 b=9.821 c=9.821 alpha=90.00 beta=90.00 gamma=90.00
Atoms (fractional coordinates):
La (0.500, 0.174, 0.674)
La (0.500, 0.674, 0.826)
La (0.500, 0.826, 0.326)
La (0.500, 0.326, 0.174)
Pm (0.000, 0.374, 0.874)
Pm (0.000, 0.874, 0.626)
Pm (0.000, 0.626, 0.126)
Pm (0.000, 0.126, 0.374)
Pr (0.000, 0.000, 0.000)
Pr (0.000, 0.500, 0.500)

Output
calculated density: 6.5 g/cm3
M_tot: 0.0 μB per formula unit
ΔE_f: 95 meV/atom
DOS at the Fermi energy: 6.26 states/eV/f.u.
energy above the most stable polymorph in this dataset: 80 meV/atom

Below is a relaxed La3Pm4Pr2 crystal, with properties calculated at the PBE level.

Unit cell a=3.684 b=3.684 c=27.664 alpha=90.00 beta=90.00 gamma=120.00
Atoms (fractional coordinates):
La (0.000, 0.000, 0.984)
La (0.000, 0.000, 0.323)
La (0.667, 0.333, 0.652)
Pm (0.000, 0.000, 0.541)
Pm (0.667, 0.333, 0.436)
Pm (0.667, 0.333, 0.216)
Pm (0.000, 0.000, 0.763)
Pr (0.667, 0.333, 0.092)
Pr (0.667, 0.333, 0.870)

Output
calculated density: 6.5 g/cm3
M_tot: 0.0 μB per formula unit
ΔE_f: 62 meV/atom
DOS at the Fermi energy: 15.55 states/eV/f.u.
energy above the most stable polymorph in this dataset: 0 meV/atom

Below is a relaxed LaPm3Pr4 crystal, with properties calculated at the PBE level.

Unit cell a=7.386 b=7.382 c=10.468 alpha=90.00 beta=90.00 gamma=90.00
Atoms (fractional coordinates):
Pr (0.000, 0.811, 0.000)
Pr (0.500, 0.310, 0.000)
Pr (0.752, 0.061, 0.750)
Pr (0.248, 0.561, 0.750)
Pr (0.500, 0.810, 0.500)
Pr (0.000, 0.311, 0.500)
Pr (0.248, 0.561, 0.250)
Pr (0.752, 0.061, 0.250)
Pm (0.000, 0.311, 0.000)
Pm (0.248, 0.061, 0.750)
Pm (0.752, 0.561, 0.750)
Pm (0.000, 0.811, 0.500)
Pm (0.752, 0.561, 0.250)
Pm (0.248, 0.061, 0.250)
La (0.500, 0.811, 0.000)
La (0.500, 0.311, 0.500)

Output
calculated density: 6.6 g/cm3
M_tot: 0.0 μB per formula unit
ΔE_f: 13 meV/atom
DOS at the Fermi energy: 13.38 states/eV/f.u.